No. 1
# ScTa2Br

ScTa2Br after structural relaxation (PBE, the Alexandria database).

a = 3.9037 Å, b = 3.9037 Å, c = 21.7826 Å
α = 90.00°, β = 90.00°, γ = 90.00°
Last column: nearest neighbours and their distance in Å.
Space group I-42d (No. 122)
Unique sites:
Sc 0.0000 0.0000 0.0000 [4 per cell]  4 Br 2.76, 4 Ta 3.05
Ta 0.2442 0.2500 0.1250 [8 per cell]  4 Ta 2.73-2.79, 2 Sc 3.05
Br 0.0000 0.0000 0.5000 [4 per cell]  4 Sc 2.76, 4 Ta 3.06

DOS(E_F) (states/eV/cell): 16.967

No. 2
# ScTa3Br

ScTa3Br after structural relaxation (PBE, the Alexandria database).

a = 4.8794 Å, b = 4.8794 Å, c = 4.8794 Å
α = 90.00°, β = 90.00°, γ = 90.00°
Last column: nearest neighbours and their distance in Å.
Space group Pm-3m (No. 221)
Unique sites:
Sc 0.0000 0.0000 0.0000 [1 per cell]  6 Ta 2.44
Ta 0.0000 0.0000 0.5000 [3 per cell]  2 Sc 2.44
Br 0.5000 0.5000 0.5000 [1 per cell]  12 Ta 3.45

DOS(E_F) (states/eV/cell): 4.685

Number 1: energy relative to the lowest polymorph listed for this composition 2.204 eV/f.u., formation energy (no corrections) 0.479 eV/atom. Number 2: energy relative to the lowest polymorph listed for this composition 4.837 eV/f.u., formation energy (no corrections) 2.090 eV/atom.